Material: HgSb2Cl
Method: DFT, SCAN
State: PBEsol geometry

Structure (CIF):
```
data_HgSb2Cl
_symmetry_space_group_name_H-M 'I -4 2 d'
_symmetry_Int_Tables_number 122
_symmetry_space_group_name_Hall 'I -4 2bw'
_cell_length_a 4.4163
_cell_length_b 4.4163
_cell_length_c 21.6701
_cell_angle_alpha 90.00
_cell_angle_beta 90.00
_cell_angle_gamma 90.00
loop_
_atom_site_label
_atom_site_type_symbol
_atom_site_fract_x
_atom_site_fract_y
_atom_site_fract_z
Hg1 Hg 0.0000 0.0000 0.0000
Sb1 Sb 0.2121 0.2500 0.1250
Cl1 Cl 0.0000 0.0000 0.5000
```

Summary:
- D(E_F): 6.51 states/eV per cell
- Energy relative to the elements, uncorrected: -65 meV/atom
- VASP energy: -603.70 eV/cell
- ΔE to the lowest computed polymorph: 0.086 eV/atom